[1]
Material: SnOs2PbAu
Method: DFT, PBE-GGA
State: optimized geometry

ΔE_f = 2.001 eV per atom

Cell lengths 5.0279, 5.0279, 5.3594 Å; angles 90.00, 90.00, 90.00 degrees
Closest atoms and distances in Å follow each position.
Space group P4/mmm (No. 123)
Symmetry-distinct sites (fractional):
Sn  0.0000  0.0000  0.0000 (multiplicity 1)  4 Pb 3.56, 8 Os 3.67
Os  0.0000  0.5000  0.5000 (multiplicity 2)  2 Au 2.51
Pb  0.5000  0.5000  0.0000 (multiplicity 1)  2 Au 2.68
Au  0.5000  0.5000  0.5000 (multiplicity 1)  4 Os 2.51, 2 Pb 2.68

---

[2]
Material: SrOsPbAu2
Method: DFT, PBE-GGA
State: optimized geometry

ΔE_f = 0.777 eV per atom

Cell lengths 5.3108, 5.3108, 5.2319 Å; angles 90.00, 90.00, 90.00 degrees
Closest atoms and distances in Å follow each position.
Space group P4/mmm (No. 123)
Symmetry-distinct sites (fractional):
Sr  0.0000  0.0000  0.0000 (multiplicity 1)  8 Au 3.73, 4 Os 3.76
Os  0.5000  0.5000  0.0000 (multiplicity 1)  2 Pb 2.62
Pb  0.5000  0.5000  0.5000 (multiplicity 1)  2 Os 2.62, 4 Au 2.66
Au  0.0000  0.5000  0.5000 (multiplicity 2)  2 Pb 2.66

---

[3]
Material: OsPdAu3
Method: DFT, PBE-GGA
State: optimized geometry

excess energy over the best structure of this formula in the dataset = 35.5 kJ/mol of atoms
ΔE_f = 1.805 eV per atom

Cell lengths 4.9460, 4.9460, 4.9460 Å; angles 90.00, 90.00, 90.00 degrees
Closest atoms and distances in Å follow each position.
Space group Pm-3m (No. 221)
Symmetry-distinct sites (fractional):
Os  0.0000  0.0000  0.0000 (multiplicity 1)  12 Au 3.50
Pd  0.5000  0.5000  0.5000 (multiplicity 1)  6 Au 2.47
Au  0.0000  0.5000  0.5000 (multiplicity 3)  2 Pd 2.47

---

[4]
Material: OsPdAu3
Method: DFT, PBE-GGA
State: optimized geometry

excess energy over the best structure of this formula in the dataset = 0.0 kJ/mol of atoms
ΔE_f = 1.436 eV per atom

Cell lengths 4.9887, 4.9887, 4.9887 Å; angles 90.00, 90.00, 90.00 degrees
Closest atoms and distances in Å follow each position.
Space group Pm-3m (No. 221)
Symmetry-distinct sites (fractional):
Os  0.0000  0.0000  0.0000 (multiplicity 1)  6 Au 2.49
Pd  0.5000  0.5000  0.5000 (multiplicity 1)  12 Au 3.53
Au  0.0000  0.0000  0.5000 (multiplicity 3)  2 Os 2.49

---

[5]
Material: Pu4OsPd2Au
Method: DFT, PBE-GGA
State: optimized geometry

ΔE_f = -0.290 eV per atom

Cell lengths 4.9717, 4.9717, 24.2831 Å; angles 90.00, 90.00, 120.00 degrees
Closest atoms and distances in Å follow each position.
Space group R-3m (No. 166, hexagonal axes)
Symmetry-distinct sites (fractional):
Pu  0.0000  0.0000  0.1173 (multiplicity 6)  1 Os 2.85, 4 Pd 2.95-3.10, 3 Au 3.11
Pu  0.0000  0.0000  0.3681 (multiplicity 6)  3 Os 2.99, 4 Pd 2.99-3.15, 1 Au 3.20, 3 Pu 3.33
Os  0.0000  0.0000  0.0000 (multiplicity 3)  8 Pu 2.85-2.99
Pd  0.0000  0.0000  0.2449 (multiplicity 6)  8 Pu 2.95-3.15
Au  0.0000  0.0000  0.5000 (multiplicity 3)  8 Pu 3.11-3.20, 6 Pd 3.44

---

[6]
Material: SiOsPdAu2
Method: DFT, PBE-GGA
State: optimized geometry

energy relative to the elements, uncorrected = 812 meV/atom

Cell lengths 4.6258, 4.6258, 4.4344 Å; angles 90.00, 90.00, 90.00 degrees
Closest atoms and distances in Å follow each position.
Space group P4/mmm (No. 123)
Symmetry-distinct sites (fractional):
Si  0.0000  0.0000  0.0000 (multiplicity 1)  2 Os 2.22, 4 Au 2.31
Os  0.0000  0.0000  0.5000 (multiplicity 1)  2 Si 2.22
Pd  0.5000  0.5000  0.5000 (multiplicity 1)  8 Au 3.20, 4 Os 3.27
Au  0.0000  0.5000  0.0000 (multiplicity 2)  2 Si 2.31

---

Volume
In order: 135 148 121 124 520 95
Unit: Å³/cell
Fermi-level density of states
In order: 1.128 0.517 1.532 0.998 3.714 0.793
Unit: states/eV per atom